No. 1
The following is a GGA-PBE calculation of crystalline La3HoNi8 at its relaxed geometry, from Alexandria via LeMat-Bulk.

a b c (Å): 5.168 5.168 8.970
angles (deg): 73.26 73.26 60.00
Sites, in units of the cell vectors:
1 Ni 0.935 0.436 0.193
2 Ni 0.937 0.443 0.682
3 Ni 0.687 0.687 0.938
4 Ni 0.188 0.188 0.436
5 Ni 0.937 0.937 0.682
6 Ni 0.436 0.436 0.193
7 Ni 0.443 0.937 0.682
8 Ni 0.436 0.935 0.193
9 Ho 0.875 0.875 0.374
10 La 0.000 0.000 0.001
11 La 0.500 0.500 0.499
12 La 0.375 0.375 0.876

DFT formation energy, meV/atom: -351
Space group: R3m



No. 2
The following is a GGA-PBE calculation of crystalline Pr2ScGe2 at its relaxed geometry, from Alexandria via LeMat-Bulk.

a b c (Å): 4.332 6.073 6.072
angles (deg): 61.62 69.10 69.11
Sites, in units of the cell vectors:
1 Pr 0.298 0.202 0.702
2 Pr 0.702 0.798 0.298
3 Ge 0.000 0.782 0.718
4 Ge 0.000 0.218 0.282
5 Sc 0.500 0.500 0.000

DFT formation energy, meV/atom: -756
Space group: Immm



No. 3
The following is a GGA-PBE calculation of crystalline NpUTc at its relaxed geometry, from Alexandria via LeMat-Bulk.

a b c (Å): 4.541 5.470 5.470
angles (deg): 64.63 65.45 65.45
Sites, in units of the cell vectors:
1 U 0.299 0.971 0.431
2 U 0.299 0.431 0.971
3 Tc 0.938 0.562 0.562
4 Tc 0.996 0.004 0.004
5 Np 0.631 0.165 0.573
6 Np 0.631 0.573 0.165

DFT formation energy, meV/atom: -37
Space group: Imm2



No. 4
The following is a GGA-PBE calculation of crystalline Tb4Pr at its relaxed geometry, from Alexandria via LeMat-Bulk.

a b c (Å): 7.097 6.534 9.555
angles (deg): 63.74 68.20 57.10
Sites, in units of the cell vectors:
1 Pr 0.250 0.000 0.000
2 Pr 0.750 0.000 0.000
3 Tb 0.150 0.800 0.400
4 Tb 0.650 0.800 0.400
5 Tb 0.195 0.390 0.221
6 Tb 0.850 0.200 0.600
7 Tb 0.805 0.610 0.779
8 Tb 0.305 0.611 0.779
9 Tb 0.350 0.200 0.600
10 Tb 0.695 0.389 0.221

DFT formation energy, meV/atom: 39
Space group: Cmmm



No. 5
The following is a GGA-PBE calculation of crystalline TaSb2S6 at its relaxed geometry, from Alexandria via LeMat-Bulk.

a b c (Å): 6.055 6.055 11.824
angles (deg): 90.00 90.00 90.00
Sites, in units of the cell vectors:
1 Ta 0.000 0.000 0.000
2 Ta 0.500 0.500 0.500
3 S 0.796 0.204 0.500
4 S 0.814 0.186 0.847
5 S 0.686 0.686 0.347
6 S 0.314 0.314 0.347
7 S 0.204 0.796 0.500
8 S 0.296 0.296 0.000
9 S 0.186 0.814 0.847
10 S 0.686 0.686 0.653
11 S 0.704 0.704 0.000
12 S 0.814 0.186 0.153
13 S 0.314 0.314 0.653
14 S 0.186 0.814 0.153
15 Sb 0.000 0.000 0.335
16 Sb 0.500 0.500 0.165
17 Sb 0.500 0.500 0.835
18 Sb 0.000 0.000 0.665

Raw formation energy, eV/atom: -0.3458
Space group: P4_2/mnm



No. 6
The following is a GGA-PBE calculation of crystalline Cr2CoPd4 at its relaxed geometry, from Alexandria via LeMat-Bulk.

a b c (Å): 4.525 4.525 7.168
angles (deg): 71.60 71.60 90.00
Each line ends with the local moment (μB).
Sites, in units of the cell vectors:
1 Co 0.000 0.000 0.000  1.83
2 Cr 0.617 0.617 0.766  3.51
3 Cr 0.383 0.383 0.234  3.51
4 Pd 0.500 0.000 0.000  0.24
5 Pd 0.190 0.190 0.620  0.14
6 Pd 0.810 0.810 0.380  0.14
7 Pd 0.000 0.500 0.000  0.24

DFT formation energy, meV/atom: 831
Space group: I4/mmm



No. 7
The following is a GGA-PBE calculation of crystalline Zr2CdPb at its relaxed geometry, from Alexandria via LeMat-Bulk.

a b c (Å): 3.886 3.886 8.211
angles (deg): 76.31 76.31 60.00
Each line ends with the local moment (μB).
Sites, in units of the cell vectors:
1 Cd 0.499 0.499 0.502  0.01
2 Zr 0.253 0.253 0.240  0.11
3 Zr 0.080 0.080 0.761  0.03
4 Pb 0.668 0.668 0.997  0.00

DFT formation energy, meV/atom: 286
Space group: R3m



No. 8
The following is a GGA-PBE calculation of crystalline BaMnSN2 at its relaxed geometry, from Alexandria via LeMat-Bulk.

a b c (Å): 4.095 4.095 4.852
angles (deg): 90.00 90.00 90.00
Each line ends with the local moment (μB).
Sites, in units of the cell vectors:
1 Mn 0.000 0.000 0.000  2.79
2 Ba 0.500 0.500 0.500  0.01
3 N 0.500 0.000 0.000  -0.66
4 N 0.000 0.500 0.000  -0.66
5 S 0.000 0.000 0.500  -0.09

Raw formation energy, eV/atom: -0.0047
Space group: P4/mmm



Record order is preserved below.
Total magnetic moment: 0.00 0.00 0.00 0.00 0.00 10.40 0.27 0.96 μB per formula unit